Density functional theory data (PBE-GGA) for crystalline CuPdAu4 at its relaxed geometry.

Cell lengths 4.4685, 4.4685, 5.6570 Å; angles 97.14, 97.14, 65.00 degrees
Fractional positions:
Cu1 0.0000 0.0000 0.0000
Pd1 0.0000 0.0000 0.5000
Au1 0.3296 0.3296 0.3370
Au2 0.3321 0.3321 0.8427
Au3 0.6679 0.6679 0.1573
Au4 0.6704 0.6704 0.6630

For the energy relative to the lowest polymorph listed for this composition, the calculation gives 0 meV/atom. The space-group type is C2/m. The value obtained for the total energy is -22.56 eV/f.u. Its formation enthalpy at 0 K is -0.027 eV/atom. As for the density of states at the Fermi level: 1.77 states/eV per cell.


Density functional theory data (PBE-GGA) for crystalline Cu4Pd4Au at its relaxed geometry.

Cell lengths 6.0642, 6.0642, 6.0642 Å; angles 95.98, 95.98, 142.32 degrees
Fractional positions:
Cu1 0.0000 0.3422 0.3422
Cu2 0.0000 0.6578 0.6578
Cu3 0.3422 0.0000 0.3422
Cu4 0.6578 0.0000 0.6578
Pd1 0.3291 0.3291 0.6583
Pd2 0.3291 0.6709 0.0000
Pd3 0.6709 0.3291 0.0000
Pd4 0.6709 0.6709 0.3417
Au1 0.0000 0.0000 0.0000

For the energy relative to the lowest polymorph listed for this composition, the calculation gives 0 meV/atom. The space-group type is I4/mmm. The value obtained for the total energy is -41.11 eV/f.u. Its formation enthalpy at 0 K is -0.075 eV/atom. As for the density of states at the Fermi level: 3.99 states/eV per cell.